# ZnTeNF2 PBEsol optimized geometry
# Spin magnetization: 0.00 Bohr magnetons per cell
# ΔE_f (raw): -194 meV per atom
data_ZnTeNF2
_chemical_formula_sum 'Zn1 Te1 N1 F2'
_space_group_name_H-M_alt 'P 1'
_space_group_IT_number 1
_cell_length_a 4.0799
_cell_length_b 4.4514
_cell_length_c 4.4514
_cell_angle_alpha 90.00
_cell_angle_beta 90.00
_cell_angle_gamma 90.00
loop_
_space_group_symop_operation_xyz
'x,y,z'
loop_
_atom_site_label
_atom_site_fract_x
_atom_site_fract_y
_atom_site_fract_z
F1 0.0000 0.0000 0.5000
F2 0.0000 0.5000 0.0000
Te1 0.0000 0.0000 0.0000
Zn1 0.5000 0.5000 0.5000
N1 0.5000 0.0000 0.0000